(1)
Density functional theory data (PBE) for OsRu2Pb after structural relaxation.

Calculated values
magnetic moment = 0.0 μB/f.u.
energy of formation from the pure elements = 0.69 eV per atom
total energy = -7.6846 eV/atom

Unit cell a=2.8715 b=4.2237 c=11.6861 alpha=90.00 beta=90.00 gamma=90.00
Last column: nearest neighbours and their distance in Å.
Space group Imm2 (No. 44)
Symmetry-distinct sites (fractional):
Os  0.0000  0.0000  0.0000 x2  6 Ru 2.53-2.67
Ru  0.0000  0.0000  0.5675 x2  4 Os 2.67, 2 Ru 2.87, 2 Pb 2.88
Ru  0.0000  0.5000  0.3215 x2  2 Os 2.53, 4 Pb 2.75
Pb  0.0000  0.5000  0.7353 x2  6 Ru 2.75-2.88, 2 Pb 2.87



(2)
Density functional theory data (PBE) for Dy2Ga5Cu12 after structural relaxation.

Calculated values
magnetic moment = 0.0 μB/f.u.
energy of formation from the pure elements = -0.22 eV per atom
total energy = -4.0896 eV/atom

Unit cell a=8.7354 b=8.7354 c=12.6877 alpha=90.00 beta=90.00 gamma=120.00
Last column: nearest neighbours and their distance in Å.
Space group R-3m (No. 166, hexagonal axes)
Symmetry-distinct sites (fractional):
Dy  0.0000  0.0000  0.1546 x6  15 Cu 3.05-3.31, 4 Ga 3.15-3.39
Ga  0.0000  0.0000  0.4027 x6  4 Ga 2.47-2.67
Ga  0.0000  0.5000  0.0000 x9  8 Cu 2.50-2.55, 2 Ga 2.67
Cu  0.0000  0.3022  0.5000 x18  2 Ga 2.50, 6 Cu 2.60-2.66
Cu  0.0063  0.5032  0.6528 x18  6 Cu 2.50-2.66, 3 Ga 2.55-2.78



(3)
Density functional theory data (PBE) for Cd2H3Pt3 after structural relaxation.

Calculated values
magnetic moment = 0.0 μB/f.u.
total energy = -3.3279 eV/atom

Unit cell a=6.9631 b=6.9631 c=7.5296 alpha=90.00 beta=90.00 gamma=120.00
Last column: nearest neighbours and their distance in Å.
Space group R32 (No. 155, hexagonal axes)
Symmetry-distinct sites (fractional):
Cd  0.0000  0.0000  0.1887 x6  3 H 2.19
H  0.0000  0.7616  0.0000 x9  2 Cd 2.19, 2 Pt 2.38
Pt  0.0000  0.2275  0.5000 x9  2 H 2.38



(4)
Density functional theory data (PBE) for Sr2TaPI after structural relaxation.

Calculated values
magnetic moment = 0.9 μB/f.u.
uncorrected formation energy = 803.6 meV per atom
total energy = -3.6317 eV/atom

Unit cell a=6.1073 b=6.1073 c=5.1137 alpha=90.00 beta=90.00 gamma=90.00
Last column: nearest neighbours and their distance in Å.
Space group P4/mmm (No. 123)
Symmetry-distinct sites (fractional):
Sr  0.0000  0.5000  0.0000 x2  2 Ta 3.05
Ta  0.0000  0.0000  0.0000 x1  2 I 2.56
P  0.5000  0.5000  0.5000 x1  8 Sr 3.98, 4 I 4.32
I  0.0000  0.0000  0.5000 x1  2 Ta 2.56



(5)
Density functional theory data (PBE) for CsBiPb after structural relaxation.

Calculated values
magnetic moment = 0.0 μB/f.u.
energy of formation from the pure elements = -0.28 eV per atom
total energy = -3.0913 eV/atom

Unit cell a=5.6793 b=5.6793 c=8.7265 alpha=90.00 beta=90.00 gamma=90.00
Last column: nearest neighbours and their distance in Å.
Space group P4/nmm (No. 129, origin choice 2)
Symmetry-distinct sites (fractional):
Cs  0.2500  0.2500  0.1653 x2  4 Pb 4.07, 5 Bi 4.12-4.20
Bi  0.2500  0.2500  0.6928 x2  4 Pb 3.30
Pb  0.2500  0.7500  0.5000 x2  4 Bi 3.30



(6)
Density functional theory data (PBE) for ErZrCd4 after structural relaxation.

Calculated values
magnetic moment = 2.1 μB/f.u.
energy of formation from the pure elements = -0.10 eV per atom
total energy = -2.8978 eV/atom

Unit cell a=8.1747 b=8.1747 c=8.1747 alpha=90.00 beta=90.00 gamma=90.00
Last column: nearest neighbours and their distance in Å.
Space group F-43m (No. 216)
Symmetry-distinct sites (fractional):
Er  0.0000  0.0000  0.0000 x4  12 Cd 3.39, 4 Zr 3.54
Zr  0.2500  0.2500  0.2500 x4  12 Cd 3.39, 4 Er 3.54
Cd  0.1247  0.1247  0.6247 x16  6 Cd 2.88-2.90



(7)
Density functional theory data (PBE) for LaGa4Cu6 after structural relaxation.

Calculated values
magnetic moment = 0.0 μB/f.u.
energy of formation from the pure elements = -0.25 eV per atom
total energy = -4.0343 eV/atom

Unit cell a=6.9605 b=6.9605 c=4.1246 alpha=90.00 beta=90.00 gamma=120.00
Last column: nearest neighbours and their distance in Å.
Space group P-6m2 (No. 187)
Symmetry-distinct sites (fractional):
La  0.0000  0.0000  0.0000 x1  6 Ga 3.16, 12 Cu 3.27-3.51
Ga  0.3333  0.6667  0.0000 x1  9 Cu 2.50-2.54
Ga  0.3971  0.1985  0.5000 x3  6 Cu 2.47-2.60
Cu  0.2108  0.4216  0.5000 x3  4 Ga 2.47-2.54, 2 Cu 2.56
Cu  0.5406  0.0812  0.0000 x3  5 Ga 2.50-2.60, 2 Cu 2.63



(8)
Density functional theory data (PBE) for Ac7SiSn3 after structural relaxation.

Calculated values
magnetic moment = 0.0 μB/f.u.
uncorrected formation energy = -359.7 meV per atom
total energy = -4.5588 eV/atom

Unit cell a=6.2624 b=10.2209 c=12.5451 alpha=90.00 beta=90.00 gamma=90.00
Last column: nearest neighbours and their distance in Å.
Space group Immm (No. 71)
Symmetry-distinct sites (fractional):
Ac  0.0000  0.0000  0.0000 x2  2 Si 3.13, 2 Sn 3.36
Ac  0.0000  0.1813  0.5000 x4  1 Si 3.26, 4 Sn 3.45-3.64
Ac  0.0000  0.3378  0.2385 x8  4 Ac 3.32-3.65, 4 Sn 3.42-3.54, 1 Si 3.68
Si  0.0000  0.5000  0.5000 x2  4 Ac 3.13-3.26
Sn  0.0000  0.0000  0.2678 x4  9 Ac 3.36-3.54
Sn  0.0000  0.5000  0.0000 x2  8 Ac 3.42-3.64